(1)
DFT (PBE) results for an optimized crystal structure of NiAg2Ru.

Cell: 2.723 2.723 8.226 Å, 90.00 90.00 90.00°
Positions (direct):
1 Ni 0.000 0.000 0.000
2 Ag 0.500 0.500 0.235
3 Ag 0.500 0.500 0.765
4 Ru 0.000 0.000 0.500

Properties
Calculated formation energy in eV per formula unit: 1.96

(2)
DFT (PBE) results for an optimized crystal structure of Tl3In3Pb.

Cell: 8.289 8.289 8.289 Å, 90.00 90.00 90.00°
Positions (direct):
1 Tl 0.000 0.250 0.500
2 Tl 0.000 0.750 0.500
3 Tl 0.250 0.500 0.000
4 Tl 0.500 0.000 0.250
5 Tl 0.500 0.000 0.750
6 Tl 0.750 0.500 0.000
7 In 0.000 0.500 0.250
8 In 0.000 0.500 0.750
9 In 0.250 0.000 0.500
10 In 0.500 0.250 0.000
11 In 0.500 0.750 0.000
12 In 0.750 0.000 0.500
13 Pb 0.000 0.000 0.000
14 Pb 0.500 0.500 0.500

Properties
Calculated formation energy in eV per formula unit: 3.53

(3)
DFT (PBE) results for an optimized crystal structure of La4ScCd5.

Cell: 3.627 3.627 21.515 Å, 90.00 90.00 90.00°
Positions (direct):
1 La 0.000 0.000 0.106
2 La 0.000 0.000 0.316
3 La 0.000 0.000 0.684
4 La 0.000 0.000 0.894
5 Sc 0.000 0.000 0.500
6 Cd 0.500 0.500 0.000
7 Cd 0.500 0.500 0.211
8 Cd 0.500 0.500 0.423
9 Cd 0.500 0.500 0.577
10 Cd 0.500 0.500 0.789

Properties
Calculated formation energy in eV per formula unit: -3.09

(4)
DFT (PBE) results for an optimized crystal structure of Ti4Cu2O.

Cell: 8.117 8.117 8.117 Å, 60.00 60.00 60.00°
Positions (direct):
1 Ti 0.180 0.180 0.820
2 Ti 0.180 0.820 0.180
3 Ti 0.180 0.820 0.820
4 Ti 0.250 0.583 0.583
5 Ti 0.566 0.566 0.934
6 Ti 0.566 0.934 0.566
7 Ti 0.566 0.934 0.934
8 Ti 0.583 0.250 0.583
9 Ti 0.583 0.583 0.250
10 Ti 0.583 0.583 0.583
11 Ti 0.820 0.180 0.180
12 Ti 0.820 0.180 0.820
13 Ti 0.820 0.820 0.180
14 Ti 0.934 0.566 0.566
15 Ti 0.934 0.566 0.934
16 Ti 0.934 0.934 0.566
17 Cu 0.164 0.164 0.164
18 Cu 0.164 0.164 0.507
19 Cu 0.164 0.507 0.164
20 Cu 0.371 0.371 0.371
21 Cu 0.371 0.371 0.888
22 Cu 0.371 0.888 0.371
23 Cu 0.507 0.164 0.164
24 Cu 0.888 0.371 0.371
25 O 0.376 0.875 0.875
26 O 0.875 0.376 0.875
27 O 0.875 0.875 0.376
28 O 0.875 0.875 0.875

Properties
Uncorrected energy in eV for the cell shown: -200.02

(5)
DFT (PBE) results for an optimized crystal structure of V2CrIr.

Cell: 9.479 9.479 9.479 Å, 158.24 158.24 30.97°
Positions (direct):
1 V 0.119 0.625 0.994
2 V 0.375 0.369 0.494
3 V 0.631 0.125 0.006
4 V 0.875 0.881 0.506
5 Cr 0.000 0.000 0.000
6 Cr 0.750 0.250 0.500
7 Ir 0.250 0.750 0.500
8 Ir 0.500 0.500 0.000

Properties
Calculated formation energy in eV per formula unit: 1.75

(6)
DFT (PBE) results for an optimized crystal structure of KMnCu2.

Cell: 9.270 9.270 9.270 Å, 149.24 149.24 44.06°
Positions (direct):
1 K 0.375 0.625 0.750
2 K 0.625 0.375 0.250
3 Mn 0.125 0.875 0.250
4 Mn 0.875 0.125 0.750
5 Cu 0.000 0.000 0.000
6 Cu 0.000 0.000 0.500
7 Cu 0.000 0.500 0.000
8 Cu 0.500 0.000 0.500

Properties
Calculated formation energy in eV per formula unit: 2.58

(7)
DFT (PBE) results for an optimized crystal structure of LaPm2YBi5.

Cell: 5.641 5.641 11.971 Å, 90.00 90.00 90.00°
Positions (direct):
1 La 0.000 0.000 0.000
2 Pm 0.500 0.500 0.226
3 Pm 0.500 0.500 0.774
4 Y 0.000 0.000 0.500
5 Bi 0.000 0.000 0.258
6 Bi 0.000 0.000 0.742
7 Bi 0.000 0.500 0.000
8 Bi 0.500 0.000 0.000
9 Bi 0.500 0.500 0.500

Properties
Calculated formation energy in eV per formula unit: 0.40

(8)
DFT (PBE) results for an optimized crystal structure of RbNi3Ge.

Cell: 4.661 4.661 4.661 Å, 90.00 90.00 90.00°
Positions (direct):
1 Rb 0.000 0.000 0.000
2 Ni 0.000 0.000 0.500
3 Ni 0.000 0.500 0.000
4 Ni 0.500 0.000 0.000
5 Ge 0.500 0.500 0.500

Properties
Calculated formation energy in eV per formula unit: 10.41

(9)
DFT (PBE) results for an optimized crystal structure of As2Pb2Au.

Cell: 7.900 7.900 4.480 Å, 90.00 90.00 90.00°
Positions (direct):
1 As 0.109 0.391 0.000
2 As 0.391 0.891 0.000
3 As 0.609 0.109 0.000
4 As 0.891 0.609 0.000
5 Pb 0.191 0.691 0.500
6 Pb 0.309 0.191 0.500
7 Pb 0.691 0.809 0.500
8 Pb 0.809 0.309 0.500
9 Au 0.000 0.000 0.500
10 Au 0.500 0.500 0.500

Properties
Calculated formation energy in eV per formula unit: 1.05

(10)
DFT (PBE) results for an optimized crystal structure of ScCd2TeO6.

Cell: 5.442 5.442 4.967 Å, 90.00 90.00 90.00°
Positions (direct):
1 Sc 0.000 0.000 0.000
2 Cd 0.000 0.500 0.435
3 Cd 0.500 0.000 0.435
4 Te 0.500 0.500 0.015
5 O 0.000 0.000 0.616
6 O 0.258 0.258 0.145
7 O 0.258 0.742 0.145
8 O 0.500 0.500 0.629
9 O 0.742 0.258 0.145
10 O 0.742 0.742 0.145

Properties
Uncorrected energy in eV for the cell shown: -55.17

(11)
DFT (PBE) results for an optimized crystal structure of La2Pr3Er2.

Cell: 9.180 9.180 8.719 Å, 118.30 118.30 22.47°
Positions (direct):
1 La 0.064 0.064 0.413
2 La 0.936 0.936 0.587
3 Pr 0.286 0.286 0.707
4 Pr 0.500 0.500 0.000
5 Pr 0.714 0.714 0.293
6 Er 0.350 0.350 0.162
7 Er 0.650 0.650 0.838

Properties
Calculated formation energy in eV per formula unit: 0.83

(12)
DFT (PBE) results for an optimized crystal structure of BeFe3Ru.

Cell: 4.518 4.518 4.518 Å, 90.00 90.00 90.00°
Positions (direct):
1 Be 0.000 0.000 0.000
2 Fe 0.000 0.500 0.500
3 Fe 0.500 0.000 0.500
4 Fe 0.500 0.500 0.000
5 Ru 0.500 0.500 0.500

Properties
Calculated formation energy in eV per formula unit: 8.45

no.,spin magnetization (μB per cell)
1,2.0
2,0.0
3,0.2
4,1.6
5,4.0
6,8.3
7,0.0
8,0.0
9,0.0
10,0.0
11,0.0
12,8.8